{
  "formula": "NaSrCeWO6",
  "functional": "PBE with a Hubbard U",
  "state": "relaxed",
  "lattice": [[0.0000, 4.2290, 4.2290], [4.2290, 0.0000, 4.2290], [4.2290, 4.2290, 0.0000]],
  "species": ["Sr", "O", "O", "O", "O", "O", "O", "Ce", "Na", "W"],
  "frac_coords": [[0.7500, 0.7500, 0.7500], [0.2671, 0.2671, 0.7329], [0.2671, 0.7329, 0.7329], [0.7329, 0.7329, 0.2671], [0.7329, 0.2671, 0.7329], [0.7329, 0.2671, 0.2671], [0.2671, 0.7329, 0.2671], [0.0000, 0.0000, 0.0000], [0.2500, 0.2500, 0.2500], [0.5000, 0.5000, 0.5000]],
  "final_energy_ev_per_atom": -7.1182
}